DFT (GGA-PBE) results for an optimized crystal structure of AcGdS2.

Cell lengths 4.161, 4.161, 8.995 Å; angles 76.63, 76.63, 60.00 degrees
Fractional coordinates of all 4 atoms:
S1 0.888 0.888 0.335
Gd1 0.500 0.500 0.500
S2 0.112 0.112 0.665
Ac1 0.000 0.000 0.000

- Raw formation energy: -638 kJ/mol of formula units

***

DFT (GGA-PBE) results for an optimized crystal structure of LaSbIrI2.

Cell lengths 5.369, 5.369, 5.335 Å; angles 90.00, 90.00, 90.00 degrees
Fractional coordinates of all 5 atoms:
Sb1 0.000 0.000 0.500
La1 0.500 0.500 0.500
I1 0.500 0.000 0.000
I2 0.000 0.500 0.000
Ir1 0.000 0.000 0.000

- Raw formation energy: -60 kJ/mol of formula units

***

DFT (GGA-PBE) results for an optimized crystal structure of Zr2Al5Ni3.

Cell lengths 4.047, 6.377, 12.113 Å; angles 90.00, 99.62, 90.00 degrees
Fractional coordinates of all 20 atoms:
Al1 0.402 0.399 0.804
Zr1 0.827 0.224 0.655
Ni1 0.952 0.483 0.905
Al2 0.708 0.422 0.416
Zr2 0.478 0.761 0.957
Ni2 0.048 0.983 0.095
Al3 0.053 0.593 0.106
Zr3 0.173 0.724 0.345
Al4 0.288 0.511 0.575
Al5 0.875 0.746 0.751
Al6 0.125 0.246 0.249
Al7 0.292 0.922 0.584
Al8 0.947 0.093 0.894
Ni3 0.774 0.712 0.548
Al9 0.598 0.899 0.196
Zr4 0.522 0.261 0.043
Ni4 0.608 0.514 0.216
Ni5 0.392 0.014 0.784
Ni6 0.226 0.212 0.452
Al10 0.712 0.011 0.425

- ΔE_f: -0.61 eV/atom

***

How do the records compare in total DFT energy (no corrections)? In the order shown, they have -8.264, -4.327, -5.924 eV per atom.
How do the records compare in calculated density? In the order shown, they have 5.7, 7.6, 5.3 g/cm3.